A geometry-optimized Pr4Dy2Tm5 structure, computed with GGA-PBE.

abc: 5.662 6.628 9.986
angles: 90.78 106.47 90.00
Positions (direct):
1 Dy 0.401 0.443 0.802
2 Dy 0.599 0.557 0.198
3 Pr 0.693 0.075 0.387
4 Pr 0.978 0.715 0.956
5 Pr 0.022 0.285 0.044
6 Pr 0.307 0.925 0.613
7 Tm 0.500 0.000 0.000
8 Tm 0.210 0.402 0.420
9 Tm 0.131 0.884 0.262
10 Tm 0.790 0.598 0.580
11 Tm 0.869 0.116 0.738

Computed properties:
E above lowest polymorph (meV per atom): 0
Energy relative to the elements (eV per atom): 0.11
DOS(E_F) (states/eV/cell): 15.909
Symmetry: No. 12